# Cs2SbMo PBE-GGA relaxed
data_Cs2SbMo
_cell_length_a 8.9813
_cell_length_b 8.9813
_cell_length_c 8.9813
_cell_angle_alpha 90.00
_cell_angle_beta 90.00
_cell_angle_gamma 90.00
_space_group_name_H-M_alt 'F m -3 m'
_space_group_IT_number 225
_space_group_name_Hall '-F 4 2 3'
loop_
_atom_site_label
_atom_site_type_symbol
_atom_site_fract_x
_atom_site_fract_y
_atom_site_fract_z
_atom_site_occupancy
Cs1 Cs 0.2500 0.2500 0.2500 1
Sb1 Sb 0.0000 0.0000 0.0000 1
Mo1 Mo 0.0000 0.0000 0.5000 1
# * magnetization: 20.0 μB/cell
# * raw formation energy: 1.10 eV per atom
# * energy: -12.3 eV/f.u.